No. 1
A relaxed YZrCr2 crystal, computed with PBEsol.

* space-group type: No. 160
* D(E_F): 4.9 states/eV per cell
* energy of formation: 0.560 eV/atom
* magnetic moment: 0.0 μB per cell
* total energy: -8.539 eV per atom
* distance to the lowest polymorph of the same formula: 0.280 eV per atom

Cell: 3.059 3.059 9.064 Å, 80.29 80.29 60.00°
Sites, in units of the cell vectors:
Cr  0.013  0.013  0.962
Cr  0.733  0.733  0.801
Y  0.489  0.489  0.533
Zr  0.265  0.265  0.205

***

No. 2
A relaxed YZr2Cr crystal, computed with PBEsol.

* space-group type: No. 6
* D(E_F): 4.5 states/eV per cell
* energy of formation: 0.356 eV/atom
* magnetic moment: 2.5 μB per cell
* total energy: -8.455 eV per atom
* distance to the lowest polymorph of the same formula: 0.069 eV per atom

Cell: 3.218 4.563 6.137 Å, 90.00 104.58 90.00°
Site moments in Bohr magnetons follow the coordinates.
Sites, in units of the cell vectors:
Cr  0.892  0.000  0.482  2.68
Y  0.427  0.500  0.722  -0.06
Zr  0.056  0.000  0.045  -0.08
Zr  0.626  0.500  0.251  -0.16

***

No. 3
A relaxed YZrCr3 crystal, computed with PBEsol.

* space-group type: No. 221
* D(E_F): 7.7 states/eV per cell
* energy of formation: 1.850 eV/atom
* magnetic moment: 8.6 μB per cell
* total energy: -7.477 eV per atom

Cell: 4.656 4.656 4.656 Å, 90.00 90.00 90.00°
Site moments in Bohr magnetons follow the coordinates.
Sites, in units of the cell vectors:
Y  0.000  0.000  0.000  0.33
Cr  0.000  0.500  0.000  2.83
Cr  0.000  0.000  0.500  2.83
Cr  0.500  0.000  0.000  2.83
Zr  0.500  0.500  0.500  -0.34

***

No. 4
A relaxed YZr2Cr crystal, computed with PBEsol.

* space-group type: No. 139
* D(E_F): 6.1 states/eV per cell
* energy of formation: 0.433 eV/atom
* magnetic moment: 1.7 μB per cell
* total energy: -8.378 eV per atom
* distance to the lowest polymorph of the same formula: 0.146 eV per atom

Cell: 5.056 4.804 5.056 Å, 58.25 90.00 121.75°
Site moments in Bohr magnetons follow the coordinates.
Sites, in units of the cell vectors:
Cr  0.500  0.000  0.500  2.28
Y  0.000  0.000  0.000  -0.26
Zr  0.250  0.500  0.250  -0.21
Zr  0.750  0.500  0.750  -0.21

***

No. 5
A relaxed YZr2Cr crystal, computed with PBEsol.

* space-group type: No. 44
* D(E_F): 5.1 states/eV per cell
* energy of formation: 0.287 eV/atom
* magnetic moment: 1.0 μB per cell
* total energy: -8.524 eV per atom
* distance to the lowest polymorph of the same formula: 0.000 eV per atom

Cell: 3.410 4.874 5.828 Å, 114.72 107.01 90.00°
Site moments in Bohr magnetons follow the coordinates.
Sites, in units of the cell vectors:
Cr  0.483  0.483  0.967  1.19
Y  0.217  0.717  0.435  -0.01
Zr  0.002  0.002  0.003  -0.10
Zr  0.798  0.298  0.595  -0.09

***

No. 6
A relaxed YZrCr2 crystal, computed with PBEsol.

* space-group type: No. 216
* D(E_F): 6.1 states/eV per cell
* energy of formation: 0.603 eV/atom
* magnetic moment: 1.1 μB per cell
* total energy: -8.496 eV per atom
* distance to the lowest polymorph of the same formula: 0.323 eV per atom

Cell: 4.690 4.690 4.690 Å, 60.00 60.00 60.00°
Site moments in Bohr magnetons follow the coordinates.
Sites, in units of the cell vectors:
Cr  0.000  0.000  0.000  -2.31
Cr  0.750  0.750  0.750  2.90
Y  0.500  0.500  0.500  0.33
Zr  0.250  0.250  0.250  0.06

***

No. 7
A relaxed Zn5Cr crystal, computed with PBEsol.

* space-group type: No. 38
* D(E_F): 2.4 states/eV per cell
* energy of formation: 0.123 eV/atom
* magnetic moment: 3.1 μB per cell
* total energy: -2.902 eV per atom

Cell: 2.827 4.271 7.049 Å, 90.00 101.57 90.00°
Site moments in Bohr magnetons follow the coordinates.
Sites, in units of the cell vectors:
Cr  0.003  0.000  0.006  2.93
Zn  0.220  0.500  0.440  0.02
Zn  0.338  0.000  0.676  -0.01
Zn  0.552  0.500  0.104  -0.02
Zn  0.665  0.000  0.330  -0.01
Zn  0.889  0.500  0.778  0.00

***

No. 8
A relaxed Zn3Cr2 crystal, computed with PBEsol.

* space-group type: No. 166
* D(E_F): 3.8 states/eV per cell
* energy of formation: 0.265 eV/atom
* magnetic moment: 0.0 μB per cell
* total energy: -4.781 eV per atom

Cell: 2.577 2.577 11.006 Å, 83.28 83.28 60.00°
Sites, in units of the cell vectors:
Cr  0.600  0.600  0.199
Cr  0.400  0.400  0.801
Zn  0.000  0.000  0.000
Zn  0.798  0.798  0.606
Zn  0.202  0.202  0.394